No. 1
Entry from Alexandria via LeMat-Bulk: Ta2HAu after structural relaxation (GGA-PBE).

Values from the calculation:
**SG**: R3m
**Relative energy among the computed polymorphs**: 17 meV per atom
**Crystal system**: trigonal

Lattice parameters (Å, degrees): 3.259 3.259 6.687 75.89 75.89 60.00
Positions (direct):
Au (0.501, 0.501, 0.497)
H (0.667, 0.667, 0.999)
Ta (0.052, 0.052, 0.844)
Ta (0.280, 0.280, 0.161)

=====

No. 2
Entry from Alexandria via LeMat-Bulk: In2SiSnAs4 after structural relaxation (GGA-PBE).

Values from the calculation:
**SG**: Fmm2
**Formation energy (no corrections)**: -0.07 eV per atom
**Crystal system**: orthorhombic

Lattice parameters (Å, degrees): 6.396 6.396 6.807 113.26 113.26 99.17
Positions (direct):
Sn (0.039, 0.039, 0.077)
As (0.819, 0.382, 0.201)
As (0.138, 0.138, 0.749)
As (0.611, 0.611, 0.749)
As (0.382, 0.819, 0.201)
In (0.254, 0.754, 0.508)
In (0.754, 0.254, 0.508)
Si (0.504, 0.504, 0.008)

=====

Number 1: total energy -7.43 eV per atom. Number 2: total energy -4.25 eV per atom.